# SmMoIO4

A relaxed structure of SmMoIO4 (PBE+U, Alexandria).

a = 6.6349 Å, b = 6.6349 Å, c = 7.2009 Å
α = 103.06°, β = 103.06°, γ = 67.61°
With the nearest neighbours (Å) after each atom.
Element x y z (fractional)
Sm 0.2445 0.2445 0.1330  4 O 2.37-2.40
Sm 0.7555 0.7555 0.8670  4 O 2.37-2.40
Mo 0.3643 0.3643 0.7357  4 O 1.78-1.82
Mo 0.6357 0.6357 0.2643  4 O 1.78-1.82
I 0.0186 0.0186 0.7524  2 Sm 3.16-3.22, 5 O 3.38-3.48
I 0.9814 0.9814 0.2476  2 Sm 3.16-3.22, 5 O 3.38-3.48
O 0.1200 0.4967 0.8537  1 Mo 1.82
O 0.3011 0.3011 0.4799  1 Mo 1.78
O 0.4678 0.4678 0.2066  1 Mo 1.78
O 0.4967 0.1200 0.8537  1 Mo 1.82
O 0.5033 0.8800 0.1463  1 Mo 1.82
O 0.5322 0.5322 0.7934  1 Mo 1.78
O 0.6989 0.6989 0.5201  1 Mo 1.78
O 0.8800 0.5033 0.1463  1 Mo 1.82

## Properties
* E_tot: -95.36 eV/cell
* theoretical density: 5.148 g cm⁻³